Record 1
Entry from Alexandria via LeMat-Bulk: a geometry-optimized Tl2SbRu structure (GGA-PBEsol).

abc: 3.1428 4.5778 7.0937
angles: 108.82 102.80 90.00
With the nearest neighbours (Å) after each atom.
Sites, in units of the cell vectors:
Ru (0.5131, 0.5131, 0.0263)  2 Sb 2.64, 4 Tl 2.78
Sb (0.1756, 0.6756, 0.3512)  2 Ru 2.64
Tl (0.9964, 0.9964, 0.9929)  4 Ru 2.78
Tl (0.8148, 0.3148, 0.6296)  2 Ru 3.03, 4 Tl 3.14-3.30, 4 Sb 3.32

## Properties
Energy above the most stable polymorph in this dataset in eV/atom: 0.1208
Crystal system: orthorhombic
Raw formation energy in kJ/mol of formula units: 84
Density in g/cm³: 11.167
DOS at the Fermi energy in states/eV per cell: 2.49

=====

Record 2
Entry from Alexandria via LeMat-Bulk: a geometry-optimized TlSb2Ru structure (GGA-PBEsol).

abc: 3.4888 5.1015 5.1015
angles: 108.37 89.91 89.91
With the nearest neighbours (Å) after each atom.
Sites, in units of the cell vectors:
Ru (0.5000, 0.0000, 0.0000)  2 Tl 2.99, 8 Sb 3.09
Sb (0.0000, 0.0000, 0.5000)  2 Sb 2.99, 4 Ru 3.09, 4 Tl 3.09
Sb (0.0000, 0.5000, 0.0000)  2 Sb 2.99, 4 Tl 3.09, 4 Ru 3.09
Tl (0.5000, 0.5000, 0.5000)  2 Ru 2.99, 8 Sb 3.09

## Properties
Crystal system: monoclinic
Raw formation energy in kJ/mol of formula units: 201
Density in g/cm³: 10.579
DOS at the Fermi energy in states/eV per cell: 2.58

=====

Record 3
Entry from Alexandria via LeMat-Bulk: a geometry-optimized TlSb3Ru structure (GGA-PBEsol).

abc: 5.1297 5.1297 5.1297
angles: 90.00 90.00 90.00
With the nearest neighbours (Å) after each atom.
Sites, in units of the cell vectors:
Sb (0.0000, 0.5000, 0.0000)  2 Ru 2.56
Sb (0.0000, 0.0000, 0.5000)  2 Ru 2.56
Sb (0.5000, 0.0000, 0.0000)  2 Ru 2.56
Tl (0.5000, 0.5000, 0.5000)  12 Sb 3.63
Ru (0.0000, 0.0000, 0.0000)  6 Sb 2.56

## Properties
Energy above the most stable polymorph in this dataset in eV/atom: 0.0000
Crystal system: cubic
Raw formation energy in kJ/mol of formula units: 172
Density in g/cm³: 8.251
DOS at the Fermi energy in states/eV per cell: 3.51

=====

Record 4
Entry from Alexandria via LeMat-Bulk: a geometry-optimized Tl2SbRu structure (GGA-PBEsol).

abc: 4.3230 4.3230 5.4780
angles: 113.24 113.24 90.00
With the nearest neighbours (Å) after each atom.
Sites, in units of the cell vectors:
Ru (0.5000, 0.5000, 0.0000)  4 Sb 3.06, 8 Tl 3.14
Sb (0.0000, 0.0000, 0.0000)  4 Ru 3.06, 8 Tl 3.14
Tl (0.7500, 0.2500, 0.5000)  4 Tl 3.06, 4 Sb 3.14, 4 Ru 3.14
Tl (0.2500, 0.7500, 0.5000)  4 Tl 3.06, 4 Sb 3.14, 4 Ru 3.14

## Properties
Energy above the most stable polymorph in this dataset in eV/atom: 0.5566
Crystal system: tetragonal
Raw formation energy in kJ/mol of formula units: 252
Density in g/cm³: 12.345
DOS at the Fermi energy in states/eV per cell: 4.66

=====

Record 5
Entry from Alexandria via LeMat-Bulk: a geometry-optimized TlSb3Ru structure (GGA-PBEsol).

abc: 5.4728 5.4728 5.4728
angles: 90.00 90.00 90.00
With the nearest neighbours (Å) after each atom.
Sites, in units of the cell vectors:
Sb (0.0000, 0.5000, 0.0000)  2 Tl 2.74
Sb (0.0000, 0.0000, 0.5000)  2 Tl 2.74
Sb (0.5000, 0.0000, 0.0000)  2 Tl 2.74
Tl (0.0000, 0.0000, 0.0000)  6 Sb 2.74
Ru (0.5000, 0.5000, 0.5000)  12 Sb 3.87

## Properties
Energy above the most stable polymorph in this dataset in eV/atom: 1.5048
Crystal system: cubic
Raw formation energy in kJ/mol of formula units: 898
Density in g/cm³: 6.795
DOS at the Fermi energy in states/eV per cell: 8.17

=====

Record 6
Entry from Alexandria via LeMat-Bulk: a geometry-optimized Tl2SbRu structure (GGA-PBEsol).

abc: 3.2069 3.2140 8.7469
angles: 90.00 90.25 90.00
With the nearest neighbours (Å) after each atom.
Sites, in units of the cell vectors:
Ru (0.9725, 0.0000, 0.4816)  4 Sb 2.69, 4 Tl 2.95-3.01
Sb (0.4720, 0.5000, 0.3169)  4 Ru 2.69
Tl (0.0640, 0.0000, 0.9992)  8 Tl 3.21-3.56, 2 Sb 3.46
Tl (0.4915, 0.5000, 0.7023)  4 Ru 2.95-3.01, 4 Tl 3.21

## Properties
Energy above the most stable polymorph in this dataset in eV/atom: 0.0000
Crystal system: monoclinic
Raw formation energy in kJ/mol of formula units: 37
Density in g/cm³: 11.633
DOS at the Fermi energy in states/eV per cell: 1.76

=====

Record 7
Entry from Alexandria via LeMat-Bulk: a geometry-optimized Sb2RuW structure (GGA-PBEsol).

abc: 3.0534 5.2883 5.2883
angles: 107.70 104.85 104.85
With the nearest neighbours (Å) after each atom.
Sites, in units of the cell vectors:
Ru (0.5000, 0.5000, 0.5000)  4 Sb 2.69
Sb (0.0000, 0.5000, 0.0000)  2 Ru 2.69, 2 W 2.69
Sb (0.0000, 0.0000, 0.5000)  2 W 2.69, 2 Ru 2.69
W (0.5000, 0.0000, 0.0000)  4 Sb 2.69

## Properties
Energy above the most stable polymorph in this dataset in eV/atom: 0.4020
Crystal system: monoclinic
Raw formation energy in kJ/mol of formula units: 272
Density in g/cm³: 11.976
DOS at the Fermi energy in states/eV per cell: 3.12

=====

Record 8
Entry from Alexandria via LeMat-Bulk: a geometry-optimized SbRu2W structure (GGA-PBEsol).

abc: 2.9985 2.9985 6.9261
angles: 90.00 90.00 90.00
With the nearest neighbours (Å) after each atom.
Sites, in units of the cell vectors:
Ru (0.0000, 0.0000, 0.9956)  4 W 2.65, 4 Ru 2.77
Ru (0.5000, 0.5000, 0.2537)  4 Sb 2.65, 4 Ru 2.77
Sb (0.0000, 0.0000, 0.4835)  4 Ru 2.65, 4 W 2.89
W (0.5000, 0.5000, 0.7672)  4 Ru 2.65, 4 Sb 2.89

## Properties
Crystal system: tetragonal
Raw formation energy in kJ/mol of formula units: 127
Density in g/cm³: 13.539
DOS at the Fermi energy in states/eV per cell: 1.73

=====

Record 9
Entry from Alexandria via LeMat-Bulk: a geometry-optimized SbRu2W structure (GGA-PBEsol).

abc: 2.9520 4.0229 5.3026
angles: 90.00 90.00 90.00
With the nearest neighbours (Å) after each atom.
Sites, in units of the cell vectors:
Ru (0.5000, 0.0000, 0.9681)  2 Sb 2.63-2.67, 4 W 2.68
Ru (0.0000, 0.5000, 0.2772)  2 W 2.62-2.68, 4 Sb 2.70
Sb (0.5000, 0.0000, 0.4713)  6 Ru 2.63-2.70
W (0.0000, 0.5000, 0.7835)  6 Ru 2.62-2.68

## Properties
Crystal system: orthorhombic
Raw formation energy in kJ/mol of formula units: 111
Density in g/cm³: 13.389
DOS at the Fermi energy in states/eV per cell: 3.30

=====

Record 10
Entry from Alexandria via LeMat-Bulk: a geometry-optimized Sb2RuW structure (GGA-PBEsol).

abc: 3.2607 4.5952 4.5952
angles: 90.00 90.00 90.00
With the nearest neighbours (Å) after each atom.
Sites, in units of the cell vectors:
Ru (0.5000, 0.0000, 0.0000)  8 Sb 2.82
Sb (0.0000, 0.0000, 0.5000)  4 Ru 2.82, 4 W 2.82
Sb (0.0000, 0.5000, 0.0000)  4 Ru 2.82, 4 W 2.82
W (0.5000, 0.5000, 0.5000)  8 Sb 2.82

## Properties
Energy above the most stable polymorph in this dataset in eV/atom: 0.0000
Crystal system: tetragonal
Raw formation energy in kJ/mol of formula units: 117
Density in g/cm³: 12.744
DOS at the Fermi energy in states/eV per cell: 2.17

=====

Record 11
Entry from Alexandria via LeMat-Bulk: a geometry-optimized SbRu2W structure (GGA-PBEsol).

abc: 2.9038 2.9038 8.7987
angles: 80.50 80.50 60.00
With the nearest neighbours (Å) after each atom.
Sites, in units of the cell vectors:
Ru (0.0001, 0.0001, 0.9998)  3 W 2.65, 9 Ru 2.72-2.90
Ru (0.7494, 0.7494, 0.7519)  3 Sb 2.68, 9 Ru 2.72-2.90
Sb (0.4965, 0.4965, 0.5105)  3 Ru 2.68, 3 W 2.89, 6 Sb 2.90
W (0.2541, 0.2541, 0.2378)  3 Ru 2.65, 3 Sb 2.89, 6 W 2.90

## Properties
Crystal system: trigonal
Raw formation energy in kJ/mol of formula units: 173
Density in g/cm³: 13.367
DOS at the Fermi energy in states/eV per cell: 3.25

=====

Record 12
Entry from Alexandria via LeMat-Bulk: a geometry-optimized SbRu2W structure (GGA-PBEsol).

abc: 4.4411 4.4411 4.4411
angles: 60.00 60.00 60.00
With the nearest neighbours (Å) after each atom.
Sites, in units of the cell vectors:
Ru (0.0000, 0.0000, 0.0000)  4 W 2.72, 4 Ru 2.72
Ru (0.7500, 0.7500, 0.7500)  4 Sb 2.72, 4 Ru 2.72
Sb (0.5000, 0.5000, 0.5000)  4 W 2.72, 4 Ru 2.72
W (0.2500, 0.2500, 0.2500)  4 Ru 2.72, 4 Sb 2.72

## Properties
Crystal system: cubic
Raw formation energy in kJ/mol of formula units: 170
Density in g/cm³: 13.613
DOS at the Fermi energy in states/eV per cell: 4.93